No. 1
Below is CaCoTc after structural relaxation, with properties calculated at the PBE level.

Space-group type: Pm (6)
Formation energy: 0.231 eV/atom
Relative energy among the computed polymorphs: 0.0730 eV per atom

Cell lengths 7.1078, 7.0481, 5.0466 Å; angles 82.82, 125.90, 53.95 degrees
Closest atoms and distances in Å follow each position.
Fractional positions:
Ca 0.3727 0.9908 0.3536  2 Tc 2.82-3.08, 4 Co 2.99-3.01
Ca 0.0434 0.4908 0.5049  3 Co 2.95-3.13, 4 Tc 3.19-3.24
Co 0.5455 0.4908 0.3423  4 Tc 2.42-2.53, 2 Co 2.51-2.54
Co 0.5504 0.4911 0.8436  4 Tc 2.42-2.54, 2 Co 2.51-2.54
Tc 0.9507 0.9910 0.5122  4 Co 2.42, 2 Tc 2.55-2.56
Tc 0.8827 0.9909 0.9555  4 Co 2.52-2.54, 2 Tc 2.55-2.56, 1 Ca 2.82

No. 2
Below is CaCoTc2 after structural relaxation, with properties calculated at the PBE level.

Space-group type: P2/m (10)
Formation energy: 0.580 eV/atom
Relative energy among the computed polymorphs: 0.2580 eV per atom

Cell lengths 4.7260, 2.9918, 4.7076 Å; angles 80.78, 90.00, 90.00 degrees
Closest atoms and distances in Å follow each position.
Fractional positions:
Ca 0.5000 0.2500 0.2500  2 Co 2.58
Co 0.5000 0.7500 0.7500  2 Ca 2.58, 4 Tc 2.67
Tc 0.0000 0.9167 0.9753  3 Tc 2.48-2.67, 2 Co 2.67
Tc 0.0000 0.5833 0.5247  3 Tc 2.48-2.67, 2 Co 2.67

No. 3
Below is CaCoTe2 after structural relaxation, with properties calculated at the PBE level.

E_tot: -17.79 eV per formula unit
Space-group type: Cm (8)

Cell lengths 6.1366, 6.1366, 4.2485 Å; angles 89.84, 89.84, 42.05 degrees
Closest atoms and distances in Å follow each position.
Fractional positions:
Ca 0.5190 0.5190 0.4987  3 Co 3.19-3.42, 7 Te 3.20-3.36
Te 0.2255 0.2255 0.5010  2 Co 2.44
Te 0.9376 0.9376 0.9996  2 Co 2.53
Co 0.8179 0.8179 0.5006  4 Te 2.44-2.53

No. 4
Below is CaCo2Te2 after structural relaxation, with properties calculated at the PBE level.

Space-group type: I4/mmm (139)
Relative energy among the computed polymorphs: 0.1612 eV per atom

Cell lengths 4.7942, 4.7942, 5.5633 Å; angles 64.48, 64.48, 90.00 degrees
Closest atoms and distances in Å follow each position.
Fractional positions:
Te 0.7500 0.2500 0.5000  4 Co 2.60
Te 0.2500 0.7500 0.5000  4 Co 2.60
Co 0.3636 0.3636 0.2728  1 Co 2.41, 4 Te 2.60
Co 0.6364 0.6364 0.7272  1 Co 2.41, 4 Te 2.60
Ca 0.0000 0.0000 0.0000  2 Co 3.21, 8 Te 3.26

No. 5
Below is CaCoTe2 after structural relaxation, with properties calculated at the PBE level.

E_tot: -16.20 eV per formula unit
Space-group type: Fm-3m (225)

Cell lengths 5.1712, 5.1712, 5.1712 Å; angles 60.00, 60.00, 60.00 degrees
Closest atoms and distances in Å follow each position.
Fractional positions:
Te 0.2500 0.2500 0.2500  4 Co 3.17, 4 Ca 3.17
Te 0.7500 0.7500 0.7500  4 Ca 3.17, 4 Co 3.17
Co 0.5000 0.5000 0.5000  8 Te 3.17
Ca 0.0000 0.0000 0.0000  8 Te 3.17

No. 6
Below is CaCo2Te after structural relaxation, with properties calculated at the PBE level.

E_tot: -19.25 eV per formula unit
Space-group type: Pmmm (47)

Cell lengths 4.2302, 4.1963, 4.9790 Å; angles 89.98, 90.00, 90.00 degrees
Closest atoms and distances in Å follow each position.
Fractional positions:
Ca 0.5000 0.7500 0.7500  8 Co 3.18, 4 Te 3.26
Co 0.0000 0.2502 0.5290  1 Co 2.20
Co 0.0000 0.2498 0.9710  1 Co 2.20
Te 0.5000 0.2500 0.2500  4 Co 2.53

No. 7
Below is CaCo2Te after structural relaxation, with properties calculated at the PBE level.

E_tot: -18.77 eV per formula unit
Space-group type: Imm2 (44)

Cell lengths 5.4621, 5.4621, 5.4621 Å; angles 142.51, 124.58, 68.84 degrees
Closest atoms and distances in Å follow each position.
Fractional positions:
Co 0.0757 0.0757 0.0000  2 Co 2.28
Co 0.2371 0.7371 0.5000  2 Co 2.28
Ca 0.7411 0.2411 0.5000  6 Co 2.94-3.09, 4 Te 3.14-3.19
Te 0.4461 0.4461 0.0000  2 Co 2.57

No. 8
Below is CaCoTe2 after structural relaxation, with properties calculated at the PBE level.

E_tot: -17.70 eV per formula unit
Space-group type: I-42d (122)

Cell lengths 7.6656, 7.6656, 6.4530 Å; angles 53.56, 53.56, 90.00 degrees
Closest atoms and distances in Å follow each position.
Fractional positions:
Ca 0.5000 0.5000 0.0000  8 Te 3.30-3.50, 2 Co 3.50
Ca 0.2500 0.7500 0.5000  8 Te 3.30-3.50, 2 Co 3.50
Te 0.3750 0.2935 0.7500  2 Co 2.47
Te 0.8750 0.9565 0.7500  2 Co 2.47
Te 0.0435 0.6250 0.2500  2 Co 2.47
Te 0.7065 0.1250 0.2500  2 Co 2.47
Co 0.0000 0.0000 0.0000  4 Te 2.47
Co 0.7500 0.2500 0.5000  4 Te 2.47

| no. | DOS(E_F) (states/eV/f.u.) | ρ (g/cm³) | volume (A^3/atom) |
| --- | --- | --- | --- |
| 1 | 3.08 | 5.7 | 19.2 |
| 2 | 4.49 | 7.5 | 16.4 |
| 3 | 3.54 | 5.5 | 26.8 |
| 4 | 2.01 | 6.8 | 20.3 |
| 5 | 4.55 | 6.0 | 24.4 |
| 6 | 4.50 | 5.4 | 22.1 |
| 7 | 4.48 | 5.9 | 20.1 |
| 8 | 1.16 | 5.7 | 25.7 |